Record 1
First-principles (PBE-GGA) data for a relaxed structure of ErTi2Pd9, as listed in Alexandria.

```
ErTi2Pd9
1.0
3.987 0.000 0.000
0.000 3.987 0.000
0.000 0.000 11.940
Er Ti Pd
1 2 9
Direct
0.000 0.000 0.000
0.000 0.000 0.335
0.000 0.000 0.665
0.000 0.500 0.179
0.000 0.500 0.500
0.000 0.500 0.821
0.500 0.000 0.179
0.500 0.000 0.500
0.500 0.000 0.821
0.500 0.500 0.000
0.500 0.500 0.339
0.500 0.500 0.661
```

Total magnetic moment in μB/atom: 0.00
Calculated formation energy in eV/atom: -0.7408
Space group: P4/mmm
E in eV per atom: -6.33

---

Record 2
First-principles (PBE-GGA) data for a relaxed structure of SmMgTcN3, as listed in Alexandria.

```
SmMgTcN3
1.0
5.948 0.000 0.000
0.000 3.354 0.000
-2.209 0.000 8.636
Sm Mg Tc N
2 2 2 6
Direct
0.149 0.250 0.170
0.851 0.750 0.830
0.375 0.250 0.874
0.625 0.750 0.126
0.147 0.750 0.587
0.853 0.250 0.413
0.016 0.750 0.346
0.251 0.750 0.005
0.433 0.750 0.706
0.567 0.250 0.294
0.749 0.250 0.995
0.984 0.250 0.654
```

ΔE_f (raw) in meV per atom: -660
Total magnetic moment in μB/atom: 0.00
Space group: P2_1/m
E in eV per atom: -7.60

---

Record 3
First-principles (PBE-GGA) data for a relaxed structure of LiZrTe2, as listed in Alexandria.

```
LiZrTe2
1.0
4.161 0.000 0.000
0.000 4.161 0.000
0.000 0.000 5.820
Li Zr Te
1 1 2
Direct
0.000 0.000 0.000
0.500 0.500 0.505
0.000 0.000 0.502
0.500 0.500 0.004
```

ΔE_f (raw) in meV per atom: -804
Total magnetic moment in μB/atom: 0.00
Space group: P4mm
E in eV per atom: -4.99

---

Record 4
First-principles (PBE-GGA) data for a relaxed structure of AlZn2Fe, as listed in Alexandria.

```
AlZn2Fe
1.0
-1.800 1.800 4.082
1.800 -1.800 4.082
1.800 1.800 -4.082
Al Zn Fe
1 2 1
Direct
0.000 0.000 0.000
0.250 0.750 0.500
0.750 0.250 0.500
0.500 0.500 0.000
```

Total magnetic moment in μB/atom: 0.29
Calculated formation energy in eV/atom: -0.0904
Space group: I4/mmm
E in eV per atom: -3.78